# 1
The following is a DFT calculation (PBE) of crystalline Ba4DyPu3O12 at its relaxed geometry.

a = 8.7939 Å, b = 8.7939 Å, c = 8.7939 Å
α = 90.00°, β = 90.00°, γ = 90.00°
Space group Im-3m (No. 229)
One atom of each set of equivalent atoms:
Ba1 0.2500 0.2500 0.2500 x8
Dy1 0.0000 0.0000 0.0000 x2
Pu1 0.0000 0.0000 0.5000 x6
O1 0.0000 0.0000 0.2560 x12
O2 0.0000 0.2500 0.5000 x12

Computed properties:
* formation energy from raw total energies: -3.01 eV/atom
* total magnetic moment: 0.55 μB per atom
* DOS(E_F): 16.47 states/eV/f.u.
* uncorrected energy: -0.64335 Ry/atom

# 2
The following is a DFT calculation (PBE) of crystalline Ba2DyPu3O12 at its relaxed geometry.

a = 7.9531 Å, b = 7.9531 Å, c = 16.2344 Å
α = 90.00°, β = 90.00°, γ = 120.00°
Space group R-3m (No. 166, hexagonal axes)
One atom of each set of equivalent atoms:
Ba1 0.0000 0.0000 0.1139 x6
Dy1 0.0000 0.0000 0.5000 x3
Pu1 0.0000 0.5000 0.0000 x9
O1 0.0528 0.5264 0.8827 x18
O2 0.0856 0.5428 0.2949 x18

Computed properties:
* formation energy from raw total energies: -2.74 eV/atom
* total magnetic moment: 0.39 μB per atom
* DOS(E_F): 8.68 states/eV/f.u.
* uncorrected energy: -0.65456 Ry/atom

# 3
The following is a DFT calculation (PBE) of crystalline BaDy2PuO8 at its relaxed geometry.

a = 5.1364 Å, b = 7.4827 Å, c = 5.1397 Å
α = 90.00°, β = 90.18°, γ = 90.00°
Space group P2/m (No. 10)
One atom of each set of equivalent atoms:
Ba1 0.0000 0.0000 0.0000 x1
Dy1 0.5000 0.2666 0.5000 x2
Pu1 0.0000 0.5000 0.0000 x1
O1 0.1874 0.3063 0.1895 x4
O2 0.2887 0.5000 0.7139 x2
O3 0.3529 0.0000 0.6537 x2

Computed properties:
* formation energy from raw total energies: -2.76 eV/atom
* total magnetic moment: 0.17 μB per atom
* uncorrected energy: -0.60157 Ry/atom

# 4
The following is a DFT calculation (PBE) of crystalline BaDyPu2O8 at its relaxed geometry.

a = 5.5572 Å, b = 5.5572 Å, c = 10.6934 Å
α = 90.00°, β = 90.00°, γ = 90.00°
Space group I-4m2 (No. 119)
One atom of each set of equivalent atoms:
Ba1 0.0000 0.0000 0.0000 x2
Dy1 0.0000 0.5000 0.7500 x2
Pu1 0.0000 0.0000 0.5000 x2
Pu2 0.0000 0.5000 0.2500 x2
O1 0.2183 0.2343 0.3691 x16

Computed properties:
* formation energy from raw total energies: -2.74 eV/atom
* total magnetic moment: 0.42 μB per atom
* DOS(E_F): 11.09 states/eV/f.u.
* uncorrected energy: -0.66021 Ry/atom

# 5
The following is a DFT calculation (PBE) of crystalline RbBa2DyO4 at its relaxed geometry.

a = 7.5304 Å, b = 7.5348 Å, c = 11.1509 Å
α = 90.00°, β = 90.00°, γ = 90.00°
Space group Imma (No. 74)
One atom of each set of equivalent atoms:
Rb1 0.0000 0.0000 0.0000 x4
Ba1 0.0000 0.0000 0.5000 x4
Ba2 0.2500 0.2500 0.2500 x4
Dy1 0.2500 0.2500 0.7500 x4
O1 0.0000 0.0219 0.7452 x8
O2 0.2351 0.2500 0.5483 x8

Computed properties:
* formation energy from raw total energies: -2.38 eV/atom
* total magnetic moment: 0.00 μB per atom
* uncorrected energy: -0.44398 Ry/atom

# 6
The following is a DFT calculation (PBE) of crystalline BaDyRe2O8 at its relaxed geometry.

a = 5.9617 Å, b = 5.9617 Å, c = 7.5777 Å
α = 90.00°, β = 90.00°, γ = 120.00°
Space group P-3m1 (No. 164)
One atom of each set of equivalent atoms:
Ba1 0.0000 0.0000 0.0000 x1
Dy1 0.0000 0.0000 0.5000 x1
Re1 0.3333 0.6667 0.7717 x2
O1 0.1643 0.3286 0.6956 x6
O2 0.3333 0.6667 0.0089 x2

Computed properties:
* formation energy from raw total energies: -2.09 eV/atom
* total magnetic moment: 0.25 μB per atom
* DOS(E_F): 7.90 states/eV/f.u.
* uncorrected energy: -0.58918 Ry/atom